[1]
This record from the Alexandria database describes crystalline Pr6Sm2Er3In at its relaxed geometry. The functional is PBE.

POSCAR file:
```
Pr6Sm2Er3In
1.0
3.115 -5.408 0.000
3.115 5.408 0.000
-2.091 0.000 11.725
Pr Sm Er In
6 2 3 1
direct
0.083 0.410 0.751
0.242 0.242 0.248
0.410 0.083 0.751
0.590 0.917 0.249
0.758 0.758 0.752
0.917 0.590 0.249
0.333 0.667 0.500
0.667 0.333 0.500
0.167 0.833 0.000
0.500 0.500 0.000
0.833 0.167 0.000
0.000 0.000 0.500
```

Computed properties:
Space-group type: C2/m
Formation energy from the elements in meV per atom: -42


[2]
This record from the Alexandria database describes crystalline KNaSnS2 at its relaxed geometry. The functional is PBE.

POSCAR file:
```
KNaSnS2
1.0
10.291 -2.059 0.000
10.291 2.059 0.000
-0.088 0.000 8.063
K Na Sn S
2 2 2 4
direct
0.082 0.082 0.248
0.918 0.918 0.752
0.217 0.217 0.646
0.783 0.783 0.354
0.427 0.427 0.298
0.573 0.573 0.702
0.118 0.118 0.874
0.344 0.344 0.525
0.656 0.656 0.475
0.882 0.882 0.126
```

Computed properties:
Space-group type: C2/m
E_form (uncorrected) in eV/atom: -0.86


[3]
This record from the Alexandria database describes crystalline ScCrRuC2 at its relaxed geometry. The functional is PBE.

POSCAR file:
```
ScCrRuC2
1.0
3.984 0.000 0.000
0.000 3.984 0.000
0.000 0.000 5.072
Sc Cr Ru C
1 1 1 2
direct
0.000 0.000 0.000
0.500 0.500 0.000
0.000 0.000 0.500
0.000 0.500 0.500
0.500 0.000 0.500
```

Computed properties:
Space-group type: P4/mmm
Formation energy from the elements in meV per atom: 1485


[4]
This record from the Alexandria database describes crystalline CaMg2 at its relaxed geometry. The functional is PBE.

POSCAR file:
```
CaMg2
1.0
0.000 4.396 4.396
4.396 0.000 4.396
4.396 4.396 0.000
Ca Mg
2 4
direct
0.125 0.125 0.125
0.875 0.875 0.875
0.000 0.500 0.500
0.500 0.000 0.500
0.500 0.500 0.000
0.500 0.500 0.500
```

Computed properties:
Space-group type: Fd-3m
Formation energy from the elements in meV per atom: -109


[5]
This record from the Alexandria database describes crystalline Na3TaBr2F6 at its relaxed geometry. The functional is PBE.

POSCAR file:
```
Na3TaBr2F6
1.0
7.351 -3.479 0.000
7.351 3.479 0.000
-0.123 0.000 5.027
Na Ta Br F
3 1 2 6
direct
0.000 0.000 0.000
0.000 0.500 0.500
0.500 0.000 0.500
0.500 0.500 0.500
0.191 0.191 0.088
0.809 0.809 0.912
0.272 0.674 0.249
0.326 0.728 0.751
0.372 0.372 0.591
0.628 0.628 0.409
0.674 0.272 0.249
0.728 0.326 0.751
```

Computed properties:
Space-group type: C2/m
E_form (uncorrected) in eV/atom: -2.61